[1]
First-principles (PBE-GGA) data for AsH2 after structural relaxation, as listed in Alexandria via LeMat-Bulk.

Properties
The total energy is -0.26711 Ry/atom. As for the space group: P1. As for the spin magnetization: 0.00 μB/f.u. The density of states at the Fermi level comes out at 0.592 states/eV/cell. The calculation puts the density at 2.84 g/cm3.

Cell: 2.819 4.350 4.356 Å, 104.95 107.33 107.31°
Sites, in units of the cell vectors:
As1 0.551 0.700 0.952
H1 0.338 0.306 0.877
H2 0.769 0.784 0.347

---

[2]
First-principles (PBE-GGA) data for Tl6Hg12Sb after structural relaxation, as listed in Alexandria via LeMat-Bulk.

Properties
The total energy is -0.08394 Ry/atom. As for the space group: R-3. As for the spin magnetization: 0.00 μB/f.u. The density of states at the Fermi level comes out at 5.974 states/eV/cell. The calculation puts the density at 10.96 g/cm3.

Cell: 8.359 8.359 8.359 Å, 97.23 97.23 97.23°
Sites, in units of the cell vectors:
Hg1 0.487 0.202 0.431
Hg2 0.636 0.008 0.890
Hg3 0.008 0.890 0.636
Hg4 0.364 0.992 0.110
Hg5 0.513 0.798 0.569
Hg6 0.992 0.110 0.364
Hg7 0.202 0.431 0.487
Hg8 0.110 0.364 0.992
Hg9 0.798 0.569 0.513
Hg10 0.890 0.636 0.008
Hg11 0.431 0.487 0.202
Hg12 0.569 0.513 0.798
Sb1 0.000 0.000 0.000
Tl1 0.323 0.170 0.758
Tl2 0.242 0.677 0.830
Tl3 0.677 0.830 0.242
Tl4 0.758 0.323 0.170
Tl5 0.170 0.758 0.323
Tl6 0.830 0.242 0.677

---

[3]
First-principles (PBE-GGA) data for ScIn2Cu after structural relaxation, as listed in Alexandria via LeMat-Bulk.

Properties
As for the energy relative to the elements: -0.12 eV/atom. As for the space group: Imm2. As for the spin magnetization: 0.00 μB/f.u. The density of states at the Fermi level comes out at 2.666 states/eV/cell. The calculation puts the density at 6.75 g/cm3.

Cell: 5.707 5.707 5.707 Å, 141.96 132.72 62.23°
Sites, in units of the cell vectors:
Cu1 0.248 0.748 0.500
Sc1 0.473 0.473 0.000
In1 0.750 0.250 0.500
In2 0.029 0.029 0.000